DFT (PBE) results for crystalline CeSi2Ni4 at its relaxed geometry.

Lattice parameters (Å, degrees): 3.979 6.197 16.045 90.00 90.00 90.00
Atoms (fractional coordinates):
Si 0.250 0.977 0.788
Ni 0.750 0.867 0.478
Ni 0.750 0.319 0.314
Ni 0.250 0.480 0.434
Si 0.750 0.265 0.460
Ni 0.750 0.781 0.794
Ni 0.750 0.980 0.066
Ni 0.750 0.181 0.814
Ni 0.250 0.281 0.706
Ni 0.250 0.219 0.206
Ce 0.250 0.996 0.360
Si 0.250 0.765 0.040
Ni 0.750 0.633 0.978
Si 0.750 0.235 0.960
Si 0.250 0.735 0.540
Si 0.250 0.523 0.288
Ni 0.250 0.133 0.522
Ni 0.750 0.719 0.294
Ce 0.250 0.504 0.860
Si 0.750 0.477 0.712
Si 0.750 0.023 0.212
Ni 0.250 0.367 0.022
Ce 0.750 0.496 0.140
Ni 0.250 0.681 0.686
Ni 0.750 0.520 0.566
Ni 0.250 0.819 0.186
Ce 0.750 0.004 0.640
Ni 0.250 0.020 0.934

Output
Space-group type: No. 62
Magnetic moment, μB/f.u.: 0.0
E_form (uncorrected), kJ/mol of atoms: -53